No. 1
{
  "formula": "V3Cr3Si2",
  "functional": "PBEsol",
  "state": "relaxed",
  "final_energy_ev_per_cell": -75.249,
  "m_tot_mub_per_cell": 0.0,
  "n_ef_per_ev_cell": 3.1,
  "lattice_angstrom": [[3.2156, 1.8565, 2.6282], [-3.2156, 1.8565, 2.6282], [0.0000, -3.7131, 2.6282]],
  "species": ["V", "V", "V", "Cr", "Cr", "Cr", "Si", "Si"],
  "frac_coords": [[0.0000, 0.7498, 0.2502], [0.2502, 0.0000, 0.7498], [0.7498, 0.2502, 0.0000], [0.2502, 0.5000, 0.7498], [0.5000, 0.7498, 0.2502], [0.7498, 0.2502, 0.5000], [0.2510, 0.2510, 0.2510], [0.7490, 0.7490, 0.7490]]
}



No. 2
{
  "formula": "KTlRu",
  "functional": "PBEsol",
  "state": "relaxed",
  "ef_kj_per_mol_atoms": 78.2,
  "m_tot_mub_per_cell": 1.0,
  "n_ef_per_ev_cell": 1.9,
  "lattice_angstrom": [[-1.5113, 1.5113, 7.4051], [1.5113, -1.5113, 7.4051], [1.5113, 1.5113, -7.4051]],
  "species": ["K", "Tl", "Ru"],
  "frac_coords": [[0.0000, 0.0000, 0.0000], [0.3037, 0.3037, 0.0000], [0.6736, 0.6736, 0.0000]]
}